(1)
A plane-wave DFT calculation with PBE was carried out for crystalline CeNdCdCu at its relaxed geometry.

Properties
energy of formation: -0.08 eV per atom
M_tot: 1.38 μB per formula unit

a b c (Å): 5.2699 5.2699 5.2699
angles (deg): 60.00 60.00 60.00
Last column: nearest neighbours and their distance in Å.
Fractional coordinates of all 4 atoms:
Nd (0.0000, 0.0000, 0.0000)  4 Cu 3.23, 4 Cd 3.23
Cu (0.2500, 0.2500, 0.2500)  4 Ce 3.23, 4 Nd 3.23
Ce (0.5000, 0.5000, 0.5000)  4 Cd 3.23, 4 Cu 3.23
Cd (0.7500, 0.7500, 0.7500)  4 Ce 3.23, 4 Nd 3.23

(2)
A plane-wave DFT calculation with PBE was carried out for crystalline CeCdCuNi at its relaxed geometry.

Properties
energy of formation: -0.14 eV per atom
M_tot: 0.03 μB per formula unit

a b c (Å): 4.7169 4.7169 4.7169
angles (deg): 60.00 60.00 60.00
Last column: nearest neighbours and their distance in Å.
Fractional coordinates of all 4 atoms:
Ce (0.0000, 0.0000, 0.0000)  4 Ni 2.89, 4 Cu 2.89
Cd (0.5000, 0.5000, 0.5000)  4 Ni 2.89, 4 Cu 2.89
Cu (0.2500, 0.2500, 0.2500)  4 Cd 2.89, 4 Ce 2.89
Ni (0.7500, 0.7500, 0.7500)  4 Cd 2.89, 4 Ce 2.89

(3)
A plane-wave DFT calculation with PBE was carried out for crystalline CeCdCuPd at its relaxed geometry.

Properties
energy of formation: -0.34 eV per atom
M_tot: 0.57 μB per formula unit

a b c (Å): 4.8467 4.8467 4.8467
angles (deg): 60.00 60.00 60.00
Last column: nearest neighbours and their distance in Å.
Fractional coordinates of all 4 atoms:
Cu (0.2500, 0.2500, 0.2500)  4 Ce 2.97, 4 Cd 2.97
Pd (0.7500, 0.7500, 0.7500)  4 Cd 2.97, 4 Ce 2.97
Cd (0.0000, 0.0000, 0.0000)  4 Cu 2.97, 4 Pd 2.97
Ce (0.5000, 0.5000, 0.5000)  4 Pd 2.97, 4 Cu 2.97

(4)
A plane-wave DFT calculation with PBE was carried out for crystalline Ce2CdCu2Pt5 at its relaxed geometry.

Properties
energy of formation: -0.70 eV per atom
M_tot: 0.97 μB per formula unit

a b c (Å): 3.9700 9.5119 9.5119
angles (deg): 90.00 90.00 90.00
Last column: nearest neighbours and their distance in Å.
Fractional coordinates of all 20 atoms:
Pt (0.5000, 0.5000, 0.0000)  4 Cu 2.56, 4 Pt 2.84
Pt (0.5000, 0.2907, 0.5701)  2 Cu 2.61, 1 Pt 2.84, 2 Cd 2.89
Pt (0.5000, 0.0000, 0.5000)  4 Cu 2.56, 4 Pt 2.84
Pt (0.5000, 0.5701, 0.7093)  2 Cu 2.61, 1 Pt 2.84, 2 Cd 2.89
Pt (0.5000, 0.9299, 0.2093)  2 Cu 2.61, 1 Pt 2.84, 2 Cd 2.89
Pt (0.5000, 0.4299, 0.2907)  2 Cu 2.61, 1 Pt 2.84, 2 Cd 2.89
Pt (0.5000, 0.2093, 0.0701)  2 Cu 2.61, 1 Pt 2.84, 2 Cd 2.89
Pt (0.5000, 0.0701, 0.7907)  2 Cu 2.61, 1 Pt 2.84, 2 Cd 2.89
Pt (0.5000, 0.7093, 0.4299)  2 Cu 2.61, 1 Pt 2.84, 2 Cd 2.89
Pt (0.5000, 0.7907, 0.9299)  2 Cu 2.61, 1 Pt 2.84, 2 Cd 2.89
Cd (0.0000, 0.0000, 0.0000)  8 Pt 2.89
Cd (0.0000, 0.5000, 0.5000)  8 Pt 2.89
Ce (0.0000, 0.8229, 0.6771)  3 Cu 2.73-2.88
Ce (0.0000, 0.1771, 0.3229)  3 Cu 2.73-2.88
Ce (0.0000, 0.6771, 0.1771)  3 Cu 2.73-2.88
Ce (0.0000, 0.3229, 0.8229)  3 Cu 2.73-2.88
Cu (0.0000, 0.6196, 0.8804)  6 Pt 2.56-2.61, 1 Ce 2.73
Cu (0.0000, 0.1196, 0.6196)  6 Pt 2.56-2.61, 1 Ce 2.73
Cu (0.0000, 0.3804, 0.1196)  6 Pt 2.56-2.61, 1 Ce 2.73
Cu (0.0000, 0.8804, 0.3804)  6 Pt 2.56-2.61, 1 Ce 2.73

(5)
A plane-wave DFT calculation with PBE was carried out for crystalline CeCdCuPt at its relaxed geometry.

Properties
energy of formation: -0.46 eV per atom
M_tot: 0.31 μB per formula unit

a b c (Å): 4.8388 4.8388 4.8388
angles (deg): 60.00 60.00 60.00
Last column: nearest neighbours and their distance in Å.
Fractional coordinates of all 4 atoms:
Cd (0.5000, 0.5000, 0.5000)  4 Cu 2.96, 4 Pt 2.96
Ce (0.0000, 0.0000, 0.0000)  4 Pt 2.96, 4 Cu 2.96
Cu (0.2500, 0.2500, 0.2500)  4 Cd 2.96, 4 Ce 2.96
Pt (0.7500, 0.7500, 0.7500)  4 Ce 2.96, 4 Cd 2.96

(6)
A plane-wave DFT calculation with PBE was carried out for crystalline CeCdCuRh at its relaxed geometry.

Properties
energy of formation: -0.28 eV per atom
M_tot: 0.19 μB per formula unit

a b c (Å): 4.7842 4.7842 4.7842
angles (deg): 60.00 60.00 60.00
Last column: nearest neighbours and their distance in Å.
Fractional coordinates of all 4 atoms:
Ce (0.7500, 0.7500, 0.7500)  4 Rh 2.93, 4 Cu 2.93
Cu (0.5000, 0.5000, 0.5000)  4 Ce 2.93, 4 Cd 2.93
Cd (0.2500, 0.2500, 0.2500)  4 Cu 2.93, 4 Rh 2.93
Rh (0.0000, 0.0000, 0.0000)  4 Cd 2.93, 4 Ce 2.93

(7)
A plane-wave DFT calculation with PBE was carried out for crystalline CeCdCuRu at its relaxed geometry.

Properties
energy of formation: -0.02 eV per atom
M_tot: 0.00 μB per formula unit

a b c (Å): 4.7565 4.7565 4.7565
angles (deg): 60.00 60.00 60.00
Last column: nearest neighbours and their distance in Å.
Fractional coordinates of all 4 atoms:
Ce (0.0000, 0.0000, 0.0000)  4 Ru 2.91, 4 Cu 2.91
Ru (0.7500, 0.7500, 0.7500)  4 Cd 2.91, 4 Ce 2.91
Cd (0.5000, 0.5000, 0.5000)  4 Ru 2.91, 4 Cu 2.91
Cu (0.2500, 0.2500, 0.2500)  4 Cd 2.91, 4 Ce 2.91

(8)
A plane-wave DFT calculation with PBE was carried out for crystalline CeScCdCu at its relaxed geometry.

Properties
energy of formation: -0.08 eV per atom
M_tot: 0.85 μB per formula unit

a b c (Å): 5.0569 5.0569 5.0569
angles (deg): 60.00 60.00 60.00
Last column: nearest neighbours and their distance in Å.
Fractional coordinates of all 4 atoms:
Cd (0.7500, 0.7500, 0.7500)  4 Ce 3.10, 4 Sc 3.10
Sc (0.0000, 0.0000, 0.0000)  4 Cd 3.10, 4 Cu 3.10
Ce (0.5000, 0.5000, 0.5000)  4 Cd 3.10, 4 Cu 3.10
Cu (0.2500, 0.2500, 0.2500)  4 Ce 3.10, 4 Sc 3.10

Values for energy, eV/cell, ordered as above
-16.0, -17.3, -17.5, -116.3, -18.8, -19.4, -20.3, -17.6